DFT (PBE-GGA) results for an optimized crystal structure of Y2SiO2.

Cell: 7.1765 7.1765 7.1765 Å, 149.40 149.40 43.82°
With the nearest neighbours (Å) after each atom.
Fractional positions:
Y 0.1630 0.1630 0.0000  4 O 2.22
Y 0.8370 0.8370 0.0000  4 O 2.22
Si 0.5000 0.5000 0.0000  8 Y 3.45, 4 Si 3.79, 8 O 3.83
O 0.2500 0.7500 0.5000  4 Y 2.22
O 0.7500 0.2500 0.5000  4 Y 2.22

Values from the calculation:
formation energy from raw total energies = -2307.4 meV/atom
symmetry = No. 139
mass density = 4.1 g/cm³
DFT total energy = -7.96 eV per atom
total magnetic moment = 0.0 μB per formula unit